1.
## ScTaTl (PBE)

Data for a relaxed structure of ScTaTl.

E above lowest polymorph = 0.621 eV per atom
calculated total energy = -73.1 eV per cell
calculated formation energy = 0.757 eV per atom
M_tot = 0.0 μB/f.u.

a = 6.6478 Å, b = 6.6478 Å, c = 6.6478 Å
α = 90.00°, β = 90.00°, γ = 90.00°
Last column: nearest neighbours and their distance in Å.
Space group F-43m (No. 216)
Symmetry-distinct sites (fractional):
Sc1 0.0000 0.0000 0.0000  4 Tl 2.88
Ta1 0.0000 0.0000 0.5000  4 Tl 2.88
Tl1 0.2500 0.2500 0.2500  4 Ta 2.88, 4 Sc 2.88

---

2.
## RbTaCd (PBE)

Data for a relaxed structure of RbTaCd.

E above lowest polymorph = 0.350 eV per atom
calculated total energy = -46.0 eV per cell
calculated formation energy = 0.741 eV per atom
M_tot = 0.0 μB/f.u.

a = 5.1775 Å, b = 13.9727 Å, c = 5.3068 Å
α = 90.00°, β = 90.00°, γ = 90.00°
Last column: nearest neighbours and their distance in Å.
Space group Cmmm (No. 65)
Symmetry-distinct sites (fractional):
Rb1 0.0000 0.0000 0.0000  4 Rb 3.71, 4 Ta 3.73, 4 Cd 3.93
Rb2 0.0000 0.5000 0.5000  4 Rb 3.71, 6 Cd 3.89-4.08
Ta1 0.2500 0.2500 0.0000  2 Ta 2.59
Cd1 0.0000 0.2078 0.5000  2 Cd 2.84, 4 Ta 3.01

---

3.
## La2Tb4Dy (PBE)

Data for a relaxed structure of La2Tb4Dy.

E above lowest polymorph = 0.000 eV per atom
calculated total energy = -65.0 eV per cell
calculated formation energy = 0.068 eV per atom
M_tot = 0.0 μB/f.u.

a = 6.1602 Å, b = 8.5186 Å, c = 9.6190 Å
α = 88.45°, β = 78.38°, γ = 72.36°
Last column: nearest neighbours and their distance in Å.
Space group P1 (No. 1)
Symmetry-distinct sites (fractional):
La1 0.0000 0.0000 0.0000  2 Dy 3.21-3.40, 4 Tb 3.45-3.54, 1 La 3.52
La2 0.0189 0.8854 0.3532  4 La 3.50-3.84, 7 Tb 3.53-3.86, 1 Dy 3.86
La3 0.1053 0.4622 0.5117  9 Tb 3.51-3.73, 3 La 3.54-3.80
La4 0.5421 0.6749 0.4556  4 La 3.50-3.84, 6 Tb 3.53-3.77, 1 Dy 3.58
Tb1 0.2095 0.0508 0.6425  4 La 3.49-3.69, 7 Tb 3.49-3.90, 1 Dy 3.68
Tb2 0.2928 0.6201 0.8105  6 Tb 3.47-3.79, 3 La 3.53-3.73, 2 Dy 3.67-3.78
Tb3 0.3437 0.5170 0.1562  2 Dy 3.38, 5 Tb 3.47-3.66, 3 La 3.52-3.77
Tb4 0.4668 0.1085 0.2872  2 Dy 3.52-3.56, 5 La 3.53-3.93, 5 Tb 3.55-3.67
Tb5 0.6534 0.2542 0.5855  1 Dy 3.47, 7 Tb 3.49-3.69, 4 La 3.51-3.74
Tb6 0.7546 0.8382 0.7288  6 Tb 3.51-3.85, 2 Dy 3.52-3.53, 4 La 3.64-3.75
Tb7 0.8526 0.3981 0.8648  3 Dy 3.39-3.57, 2 La 3.52-3.54, 6 Tb 3.53-3.70
Tb8 0.8974 0.3320 0.2282  4 La 3.45-3.86, 6 Tb 3.50-3.66, 2 Dy 3.55-3.71
Dy1 0.4132 0.1972 0.9341  9 Tb 3.38-3.71, 2 La 3.40-3.67
Dy2 0.7337 0.7299 0.0856  2 La 3.21-3.58, 5 Tb 3.38-3.56

---

4.
## CaReH2Cl (PBE)

Data for a relaxed structure of CaReH2Cl.

calculated total energy = -18.1 eV per cell
M_tot = 4.0 μB/f.u.

a = 3.9903 Å, b = 3.9903 Å, c = 6.7620 Å
α = 90.00°, β = 90.00°, γ = 90.00°
Last column: nearest neighbours and their distance in Å.
Space group P4/mmm (No. 123)
Symmetry-distinct sites (fractional):
Ca1 0.0000 0.0000 0.0000  4 H 2.00
Re1 0.0000 0.0000 0.5000  4 Cl 2.82
H1 0.0000 0.5000 0.0000  2 Ca 2.00
Cl1 0.5000 0.5000 0.5000  4 Re 2.82

---

5.
## NdPuAg2O6 (PBE)

Data for a relaxed structure of NdPuAg2O6.

calculated total energy = -71.8 eV per cell
formation energy from raw total energies = -1.724 eV/atom
M_tot = 1.3 μB/f.u.

a = 6.1188 Å, b = 6.1188 Å, c = 4.4228 Å
α = 90.00°, β = 90.00°, γ = 90.00°
Last column: nearest neighbours and their distance in Å.
Space group P4mm (No. 99)
Symmetry-distinct sites (fractional):
Nd1 0.0000 0.0000 0.0000  6 O 2.19-2.38
Pu1 0.5000 0.5000 0.0526  4 O 1.96
Ag1 0.0000 0.5000 0.4061  4 O 2.65
O1 0.0000 0.0000 0.5060  2 Nd 2.19-2.24
O2 0.2732 0.2732 0.0626  1 Pu 1.96
O3 0.5000 0.5000 0.5530  2 Pu 2.21

---

6.
## K2NaMnS4 (PBE)

Data for a relaxed structure of K2NaMnS4.

calculated total energy = -284.3 eV per cell
formation energy from raw total energies = -0.794 eV/atom
M_tot = 2.0 μB/f.u.

a = 6.2382 Å, b = 12.7467 Å, c = 23.6773 Å
α = 90.00°, β = 90.00°, γ = 90.00°
Last column: nearest neighbours and their distance in Å.
Space group Fddd (No. 70, origin choice 2)
Symmetry-distinct sites (fractional):
K1 0.1250 0.1250 0.3107  4 S 3.34-3.40
Na1 0.1250 0.1250 0.1250  4 S 2.65
Mn1 0.1250 0.1250 0.6250  4 S 2.13
S1 0.0608 0.2753 0.8221  1 Mn 2.13

---

7.
## Sm2Ga8Rh (PBE)

Data for a relaxed structure of Sm2Ga8Rh.

calculated total energy = -47.2 eV per cell
calculated formation energy = -0.563 eV per atom
M_tot = 0.0 μB/f.u.

a = 4.3467 Å, b = 4.3467 Å, c = 11.3175 Å
α = 90.00°, β = 90.00°, γ = 90.00°
Last column: nearest neighbours and their distance in Å.
Space group P4/mmm (No. 123)
Symmetry-distinct sites (fractional):
Sm1 0.0000 0.0000 0.1929  12 Ga 3.04-3.08
Ga1 0.0000 0.5000 0.0000  8 Ga 3.07-3.08, 4 Sm 3.08
Ga2 0.0000 0.5000 0.3811  2 Rh 2.56, 1 Ga 2.69
Ga3 0.5000 0.5000 0.1930  8 Ga 3.04-3.08, 4 Sm 3.07
Rh1 0.0000 0.0000 0.5000  8 Ga 2.56

---

8.
## SmYCdOs (PBE)

Data for a relaxed structure of SmYCdOs.

E above lowest polymorph = 0.000 eV per atom
calculated total energy = -24.3 eV per cell
calculated formation energy = -0.242 eV per atom
M_tot = 0.0 μB/f.u.

a = 3.4892 Å, b = 3.4892 Å, c = 7.8680 Å
α = 90.00°, β = 90.00°, γ = 90.00°
Last column: nearest neighbours and their distance in Å.
Space group P4mm (No. 99)
Symmetry-distinct sites (fractional):
Sm1 0.0000 0.0000 0.0000  4 Os 3.01, 1 Y 3.36
Y1 0.0000 0.0000 0.5728  4 Os 2.97, 4 Cd 3.30
Cd1 0.5000 0.5000 0.2952  4 Y 3.30, 4 Sm 3.39, 4 Cd 3.49
Os1 0.5000 0.5000 0.7818  4 Y 2.97, 4 Sm 3.01

---

9.
## AcGaTe (PBE)

Data for a relaxed structure of AcGaTe.

E above lowest polymorph = 0.000 eV per atom
calculated total energy = -228.8 eV per cell
formation energy from raw total energies = -0.811 eV/atom
M_tot = 0.0 μB/f.u.

a = 20.4332 Å, b = 20.4332 Å, c = 5.4975 Å
α = 90.00°, β = 90.00°, γ = 120.00°
Last column: nearest neighbours and their distance in Å.
Space group R-3 (No. 148, hexagonal axes)
Symmetry-distinct sites (fractional):
Ac1 0.0656 0.5776 0.2356  4 Ga 3.23-3.61, 4 Te 3.29-3.57
Ga1 0.0174 0.6265 0.7384  2 Ga 2.58
Te1 0.0509 0.2085 0.0657  1 Ga 2.91

---

10.
## HfBe3Ga (PBE)

Data for a relaxed structure of HfBe3Ga.

E above lowest polymorph = 0.000 eV per atom
calculated total energy = -21.1 eV per cell
calculated formation energy = 0.613 eV per atom
M_tot = 0.0 μB/f.u.

a = 4.1138 Å, b = 4.1138 Å, c = 4.1138 Å
α = 90.00°, β = 90.00°, γ = 90.00°
Last column: nearest neighbours and their distance in Å.
Space group Pm-3m (No. 221)
Symmetry-distinct sites (fractional):
Hf1 0.0000 0.0000 0.0000  12 Be 2.91
Be1 0.0000 0.5000 0.5000  2 Ga 2.06
Ga1 0.5000 0.5000 0.5000  6 Be 2.06

---

11.
## K2Ta2O3F6 (PBE)

Data for a relaxed structure of K2Ta2O3F6.

calculated total energy = -370.9 eV per cell
formation energy from raw total energies = -3.132 eV/atom
M_tot = 0.0 μB/f.u.

a = 10.4158 Å, b = 5.6607 Å, c = 14.7639 Å
α = 90.00°, β = 90.00°, γ = 90.00°
Last column: nearest neighbours and their distance in Å.
Space group Pnma (No. 62)
Symmetry-distinct sites (fractional):
K1 0.0574 0.2500 0.1016  9 F 2.75-2.99
K2 0.2438 0.7500 0.2908  9 F 2.91-3.10
Ta1 0.0643 0.7500 0.6476  3 O 1.92-1.93, 3 F 1.98-2.01
Ta2 0.2171 0.2500 0.5080  3 O 1.92-1.93, 3 F 2.00
O1 0.1053 0.2500 0.4041  2 Ta 1.92-1.93
O2 0.1309 0.5009 0.5711  2 Ta 1.92-1.93
F1 0.0132 0.5131 0.7398  1 Ta 1.98
F2 0.1487 0.7500 0.1053  1 Ta 2.00
F3 0.1665 0.5148 0.9484  1 Ta 2.00
F4 0.2323 0.7500 0.7141  1 Ta 2.01

---

12.
## VSnMo2 (PBE)

Data for a relaxed structure of VSnMo2.

calculated total energy = -128.2 eV per cell
calculated formation energy = 0.684 eV per atom
M_tot = 1.2 μB/f.u.

a = 3.8183 Å, b = 3.8183 Å, c = 19.6731 Å
α = 90.00°, β = 90.00°, γ = 90.00°
Last column: nearest neighbours and their distance in Å.
Space group I-42d (No. 122)
Symmetry-distinct sites (fractional):
V1 0.0000 0.0000 0.0000  4 Sn 2.70, 4 Mo 2.80
Sn1 0.0000 0.0000 0.5000  4 V 2.70, 4 Mo 2.81
Mo1 0.2440 0.2500 0.1250  4 Mo 2.67-2.73, 2 V 2.80, 2 Sn 2.81

---

13.
## BaLi2BeRu (PBE)

Data for a relaxed structure of BaLi2BeRu.

calculated total energy = -13.9 eV per cell
calculated formation energy = 0.961 eV per atom
M_tot = 0.0 μB/f.u.

a = 4.9727 Å, b = 4.9727 Å, c = 5.3407 Å
α = 90.00°, β = 90.00°, γ = 90.00°
Last column: nearest neighbours and their distance in Å.
Space group P4/mmm (No. 123)
Symmetry-distinct sites (fractional):
Ba1 0.0000 0.0000 0.0000  2 Ru 2.67
Li1 0.0000 0.5000 0.5000  2 Ru 2.49
Be1 0.5000 0.5000 0.0000  4 Ba 3.52, 8 Li 3.65
Ru1 0.0000 0.0000 0.5000  4 Li 2.49, 2 Ba 2.67

---

14.
## NdUPb2S6 (PBE)

Data for a relaxed structure of NdUPb2S6.

calculated total energy = -179.0 eV per cell
formation energy from raw total energies = -1.142 eV/atom
M_tot = 1.0 μB/f.u.

a = 7.2468 Å, b = 7.2468 Å, c = 18.6084 Å
α = 90.00°, β = 90.00°, γ = 120.00°
Last column: nearest neighbours and their distance in Å.
Space group R3 (No. 146, hexagonal axes)
Symmetry-distinct sites (fractional):
Nd1 0.0000 0.0000 0.0000  6 S 2.81-2.87
U1 0.0000 0.0000 0.4955  6 S 2.63-2.64
Pb1 0.0000 0.0000 0.2915  6 S 2.98-3.02
Pb2 0.0000 0.0000 0.7955  6 S 2.97-2.99
S1 0.0593 0.3339 0.5694  1 U 2.63, 1 Nd 2.87
S2 0.0667 0.7005 0.0737  1 U 2.64, 1 Nd 2.81

---

15.
## Pm12Sm3Tm (PBE)

Data for a relaxed structure of Pm12Sm3Tm.

calculated total energy = -75.4 eV per cell
calculated formation energy = 0.014 eV per atom
M_tot = 0.0 μB/f.u.

a = 5.1409 Å, b = 5.1409 Å, c = 20.5428 Å
α = 90.00°, β = 90.00°, γ = 90.00°
Last column: nearest neighbours and their distance in Å.
Space group P4/mmm (No. 123)
Symmetry-distinct sites (fractional):
Pm1 0.0000 0.0000 0.0000  8 Pm 3.61, 4 Tm 3.64
Pm2 0.0000 0.0000 0.2486  4 Sm 3.64, 8 Pm 3.64-3.65
Pm3 0.0000 0.0000 0.5000  4 Sm 3.64, 8 Pm 3.64
Pm4 0.0000 0.5000 0.1233  2 Tm 3.61, 8 Pm 3.61-3.64, 2 Sm 3.64
Pm5 0.0000 0.5000 0.3745  8 Pm 3.64-3.65, 4 Sm 3.64
Sm1 0.5000 0.5000 0.2489  12 Pm 3.64
Sm2 0.5000 0.5000 0.5000  12 Pm 3.64
Tm1 0.5000 0.5000 0.0000  12 Pm 3.61-3.64

---

16.
## CaInIr (PBE)

Data for a relaxed structure of CaInIr.

calculated total energy = -28.7 eV per cell
calculated formation energy = -0.258 eV per atom
M_tot = 0.0 μB/f.u.

a = 3.3826 Å, b = 3.3826 Å, c = 11.4003 Å
α = 90.00°, β = 90.00°, γ = 90.00°
Last column: nearest neighbours and their distance in Å.
Space group I4mm (No. 107)
Symmetry-distinct sites (fractional):
Ca1 0.0000 0.0000 0.0000  4 Ir 3.02, 1 In 3.27, 4 Ca 3.38
In1 0.0000 0.0000 0.2871  4 Ir 2.79
Ir1 0.0000 0.0000 0.6618  4 In 2.79, 4 Ca 3.02

---

17.
## Ce4PaAs5 (PBE)

Data for a relaxed structure of Ce4PaAs5.

calculated total energy = -139.9 eV per cell
calculated formation energy = -1.349 eV per atom
M_tot = 3.4 μB/f.u.

a = 9.3711 Å, b = 9.3711 Å, c = 5.9236 Å
α = 90.00°, β = 90.00°, γ = 90.00°
Last column: nearest neighbours and their distance in Å.
Space group I4/m (No. 87)
Symmetry-distinct sites (fractional):
Ce1 0.0981 0.6992 0.0000  6 As 2.96-3.01
Pa1 0.0000 0.0000 0.5000  6 As 2.90-2.96
As1 0.0000 0.0000 0.0000  2 Pa 2.96, 4 Ce 2.96
As2 0.0981 0.7064 0.5000  1 Pa 2.90, 5 Ce 2.96-3.01

---

18.
## Rh5Au (PBE)

Data for a relaxed structure of Rh5Au.

E above lowest polymorph = 0.368 eV per atom
calculated total energy = -37.1 eV per cell
calculated formation energy = 0.488 eV per atom
M_tot = 0.2 μB/f.u.

a = 5.0623 Å, b = 5.0623 Å, c = 4.4384 Å
α = 90.00°, β = 90.00°, γ = 120.00°
Last column: nearest neighbours and their distance in Å.
Space group P6/mmm (No. 191)
Symmetry-distinct sites (fractional):
Rh1 0.0000 0.5000 0.0000  8 Rh 2.53-2.66
Rh2 0.3333 0.6667 0.5000  9 Rh 2.66-2.92, 3 Au 2.92
Au1 0.0000 0.0000 0.5000  6 Rh 2.92

---

19.
## CdHPd3 (PBE)

Data for a relaxed structure of CdHPd3.

E above lowest polymorph = 0.037 eV per atom
calculated total energy = -84.4 eV per cell
M_tot = 0.0 μB/f.u.

a = 9.8994 Å, b = 5.8742 Å, c = 4.9189 Å
α = 90.00°, β = 105.85°, γ = 90.00°
Last column: nearest neighbours and their distance in Å.
Space group Cm (No. 8)
Symmetry-distinct sites (fractional):
Cd1 0.0000 0.0000 0.0000  11 Pd 2.83-2.94, 1 Cd 3.11
Cd2 0.2385 0.5000 0.4787  11 Pd 2.85-2.94, 1 Cd 3.11
H1 0.3403 0.0000 0.1345  3 Pd 1.82-1.85
H2 0.4287 0.0000 0.6198  4 Pd 1.81-1.82
Pd1 0.2385 0.0000 0.4875  1 H 1.82
Pd2 0.2444 0.2543 0.9833  1 H 1.82
Pd3 0.4941 0.2573 0.4947  1 H 1.82
Pd4 0.4980 0.0000 0.0001  2 H 1.81-1.85

---

20.
## Ba5W3 (PBE)

Data for a relaxed structure of Ba5W3.

E above lowest polymorph = 0.000 eV per atom
calculated total energy = -81.8 eV per cell
calculated formation energy = 0.946 eV per atom
M_tot = 0.0 μB/f.u.

a = 7.5951 Å, b = 7.9384 Å, c = 10.7915 Å
α = 78.17°, β = 80.87°, γ = 76.54°
Last column: nearest neighbours and their distance in Å.
Space group P-1 (No. 2)
Symmetry-distinct sites (fractional):
Ba1 0.0338 0.2595 0.0454  2 W 3.24-3.52
Ba2 0.2239 0.3077 0.3405  3 W 3.26-3.60
Ba3 0.2588 0.7773 0.2103  4 W 3.50-3.76, 2 Ba 3.76-3.90
Ba4 0.2756 0.5264 0.6427  1 W 3.41, 1 Ba 3.70
Ba5 0.3589 0.9455 0.8069  4 W 3.35-3.71, 2 Ba 3.65-3.71
W1 0.0862 0.0235 0.5774  2 W 2.41-2.49
W2 0.3845 0.4421 0.9929  1 W 2.20
W3 0.3988 0.9053 0.4801  2 W 2.49-2.52